Here is crystalline CsZnHgS2 at its relaxed geometry from the Alexandria database. Energies are from PBE.

Calculated values
formation energy without anion corrections = -483 meV/atom
spin magnetization = 0.00 μB per formula unit
DOS at the Fermi energy = 0.58 states/eV/atom

a = 7.650 Å, b = 4.592 Å, c = 9.202 Å
α = 90.00°, β = 90.85°, γ = 90.00°
Space group P2/c (No. 13)
Symmetry-distinct sites (fractional):
Cs  0.000  0.206  0.250 (multiplicity 2)
Zn  0.500  0.000  0.000 (multiplicity 2)
Hg  0.500  0.419  0.250 (multiplicity 2)
S  0.288  0.297  0.939 (multiplicity 4)